# Bi2AsPb PBE relaxed
data_Bi2AsPb
_cell_length_a 6.622
_cell_length_b 6.622
_cell_length_c 15.064
_cell_angle_alpha 90.00
_cell_angle_beta 90.00
_cell_angle_gamma 90.00
_space_group_name_H-M_alt 'I -4 2 d'
_space_group_IT_number 122
_space_group_name_Hall 'I -4 2bw'
loop_
_atom_site_label
_atom_site_fract_x
_atom_site_fract_y
_atom_site_fract_z
Bi1 0.212 0.250 0.125
As1 0.000 0.000 0.000
Pb1 0.000 0.000 0.500
# Electronic total energy   -3.78 eV/atom
# Formation energy from the elements   0.2517 eV/atom
# Energy above the most stable polymorph in this dataset   0.63 eV/f.u.
# Mass density   7.04 g/cm³
# Magnetization   0.0 μB/f.u.



# InPtI6 PBE relaxed
data_InPtI6
_cell_length_a 7.298
_cell_length_b 13.203
_cell_length_c 7.353
_cell_angle_alpha 90.00
_cell_angle_beta 98.20
_cell_angle_gamma 90.00
_space_group_name_H-M_alt 'C 1 2/m 1'
_space_group_IT_number 12
loop_
_space_group_symop_operation_xyz
'x,y,z'
'-x,-y,-z'
'-x,y,-z'
'x,-y,z'
'x+1/2,y+1/2,z'
'-x+1/2,-y+1/2,-z'
'-x+1/2,y+1/2,-z'
'x+1/2,-y+1/2,z'
loop_
_atom_site_label
_atom_site_fract_x
_atom_site_fract_y
_atom_site_fract_z
In1 0.000 0.000 0.000
Pt1 0.000 0.000 0.500
I1 0.146 0.142 0.303
I2 0.175 0.500 0.188
# Electronic total energy   -2.52 eV/atom
# E_form (uncorrected)   -0.256 eV per atom
# Mass density   5.07 g/cm³
# Magnetization   0.0 μB/f.u.